[1]
# Ba2NaRhO5 GGA-PBE optimized geometry
data_Ba2NaRhO5
_chemical_formula_sum 'Ba4 Na2 Rh2 O10'
_cell_length_a 3.9764
_cell_length_b 6.3381
_cell_length_c 12.1974
_cell_angle_alpha 90.00
_cell_angle_beta 90.00
_cell_angle_gamma 90.00
_space_group_name_H-M_alt 'I m m m'
_space_group_IT_number 71
_space_group_name_Hall '-I 2 2'
loop_
_atom_site_label
_atom_site_type_symbol
_atom_site_fract_x
_atom_site_fract_y
_atom_site_fract_z
Ba1 Ba 0.0000 0.0000 0.2192
Na1 Na 0.0000 0.5000 0.0000
Rh1 Rh 0.0000 0.5000 0.5000
O1 O 0.0000 0.0000 0.0000
O2 O 0.0000 0.2788 0.3802
# Spin magnetization in μB per cell: 4.118
# DOS(E_F) in states/eV/cell: 8.567
# Energy relative to the elements, uncorrected in eV per atom: -1.59


[2]
# Ba3NaRh2O6 GGA-PBE optimized geometry
data_Ba3NaRh2O6
_chemical_formula_sum 'Ba3 Na1 Rh2 O6'
_cell_length_a 6.1774
_cell_length_b 6.1774
_cell_length_c 6.8892
_cell_angle_alpha 90.00
_cell_angle_beta 90.00
_cell_angle_gamma 120.00
_space_group_name_H-M_alt 'P -3 m 1'
_space_group_IT_number 164
_space_group_name_Hall '-P 3 2"'
loop_
_atom_site_label
_atom_site_type_symbol
_atom_site_fract_x
_atom_site_fract_y
_atom_site_fract_z
Ba1 Ba 0.0000 0.0000 0.0000
Ba2 Ba 0.3333 0.6667 0.6513
Na1 Na 0.0000 0.0000 0.5000
Rh1 Rh 0.3333 0.6667 0.1840
O1 O 0.1695 0.3389 0.2917
# Spin magnetization in μB per cell: 0.001
# DOS(E_F) in states/eV/cell: 6.084
# Energy relative to the elements, uncorrected in eV per atom: -1.47


[3]
# Ba3Na2RhO6 GGA-PBE optimized geometry
data_Ba3Na2RhO6
_chemical_formula_sum 'Ba3 Na2 Rh1 O6'
_cell_length_a 6.1107
_cell_length_b 6.1107
_cell_length_c 6.6591
_cell_angle_alpha 90.00
_cell_angle_beta 90.00
_cell_angle_gamma 120.00
_space_group_name_H-M_alt 'P -3 m 1'
_space_group_IT_number 164
_space_group_name_Hall '-P 3 2"'
loop_
_atom_site_label
_atom_site_type_symbol
_atom_site_fract_x
_atom_site_fract_y
_atom_site_fract_z
Ba1 Ba 0.0000 0.0000 0.0000
Ba2 Ba 0.3333 0.6667 0.6079
Na1 Na 0.3333 0.6667 0.1488
Rh1 Rh 0.0000 0.0000 0.5000
O1 O 0.1575 0.3150 0.3175
# Spin magnetization in μB per cell: 1.066
# DOS(E_F) in states/eV/cell: 6.720
# Energy relative to the elements, uncorrected in eV per atom: -1.69


[4]
# Ba3NaRh2O9 GGA-PBE optimized geometry
data_Ba3NaRh2O9
_chemical_formula_sum 'Ba3 Na1 Rh2 O9'
_cell_length_a 5.8616
_cell_length_b 5.8616
_cell_length_c 7.2517
_cell_angle_alpha 90.00
_cell_angle_beta 90.00
_cell_angle_gamma 120.00
_space_group_name_H-M_alt 'P -3 m 1'
_space_group_IT_number 164
_space_group_name_Hall '-P 3 2"'
loop_
_atom_site_label
_atom_site_type_symbol
_atom_site_fract_x
_atom_site_fract_y
_atom_site_fract_z
Ba1 Ba 0.0000 0.0000 0.0000
Ba2 Ba 0.3333 0.6667 0.6649
Na1 Na 0.0000 0.0000 0.5000
Rh1 Rh 0.3333 0.6667 0.1649
O1 O 0.0000 0.5000 0.0000
O2 O 0.1785 0.3570 0.3130
# Spin magnetization in μB per cell: 5.121
# DOS(E_F) in states/eV/cell: 5.005
# Energy relative to the elements, uncorrected in eV per atom: -1.62


[5]
# Ba3Na2RuO6 GGA-PBE optimized geometry
data_Ba3Na2RuO6
_chemical_formula_sum 'Ba3 Na2 Ru1 O6'
_cell_length_a 6.0932
_cell_length_b 6.0932
_cell_length_c 6.8133
_cell_angle_alpha 90.00
_cell_angle_beta 90.00
_cell_angle_gamma 120.00
_space_group_name_H-M_alt 'P -3 m 1'
_space_group_IT_number 164
_space_group_name_Hall '-P 3 2"'
loop_
_atom_site_label
_atom_site_type_symbol
_atom_site_fract_x
_atom_site_fract_y
_atom_site_fract_z
Ba1 Ba 0.0000 0.0000 0.0000
Ba2 Ba 0.3333 0.6667 0.6100
Na1 Na 0.3333 0.6667 0.1578
Ru1 Ru 0.0000 0.0000 0.5000
O1 O 0.1550 0.3100 0.3249
# Spin magnetization in μB per cell: 2.011
# DOS(E_F) in states/eV/cell: 3.355
# Energy relative to the elements, uncorrected in eV per atom: -1.76


[6]
# Ba4NaRu3O12 GGA-PBE optimized geometry
data_Ba4NaRu3O12
_chemical_formula_sum 'Ba8 Na2 Ru6 O24'
_cell_length_a 8.2269
_cell_length_b 8.2269
_cell_length_c 8.2269
_cell_angle_alpha 90.00
_cell_angle_beta 90.00
_cell_angle_gamma 90.00
_space_group_name_H-M_alt 'I m -3 m'
_space_group_IT_number 229
_space_group_name_Hall '-I 4 2 3'
loop_
_atom_site_label
_atom_site_type_symbol
_atom_site_fract_x
_atom_site_fract_y
_atom_site_fract_z
Ba1 Ba 0.2500 0.2500 0.2500
Na1 Na 0.0000 0.0000 0.0000
Ru1 Ru 0.0000 0.0000 0.5000
O1 O 0.0000 0.0000 0.2710
O2 O 0.0000 0.2500 0.5000
# Spin magnetization in μB per cell: 5.857
# DOS(E_F) in states/eV/cell: 28.069
# Energy above the lowest structure with this stoichiometry in meV/atom: 87
# Energy relative to the elements, uncorrected in eV per atom: -1.75


- energy relative to the elements, uncorrected of number 5 (Ba3Na2RuO6)?
  -1.76 eV per atom


- Look up the spin magnetization of the third one.
  1.066 μB per cell